(1)
ZrTl3F, relaxed, DFT PBE; D(E_F) = 1.78 states/eV per cell; energy relative to the lowest polymorph listed for this composition = 0 meV/atom
1.0
4.940 0.000 0.000
0.000 4.940 0.000
0.000 0.000 4.940
Zr Tl F
1 3 1
direct
0.000 0.000 0.000
0.000 0.500 0.500
0.500 0.000 0.500
0.500 0.500 0.000
0.500 0.500 0.500

(2)
ZrTl3F6, relaxed, DFT PBE; D(E_F) = 2.00 states/eV per cell; calculated total energy = -52.25 eV/cell
1.0
0.000 4.798 6.192
3.895 0.000 6.192
3.895 4.798 0.000
Zr Tl F
1 3 6
direct
0.000 0.000 0.000
0.250 0.250 0.250
0.500 0.500 0.500
0.750 0.750 0.750
0.072 0.695 0.928
0.212 0.788 0.212
0.305 0.928 0.695
0.695 0.072 0.305
0.788 0.212 0.788
0.928 0.305 0.072

(3)
Zr3TlF15, relaxed, DFT PBE; D(E_F) = 0.00 states/eV per cell; calculated total energy = -472.71 eV/cell
1.0
8.105 0.000 0.000
-1.391 7.998 0.000
-2.793 -3.365 15.644
Zr Tl F
12 4 60
direct
0.000 0.000 0.000
0.001 0.003 0.502
0.071 0.503 0.466
0.142 0.431 0.716
0.145 0.435 0.217
0.497 0.933 0.039
0.501 0.933 0.536
0.569 0.863 0.786
0.574 0.431 0.002
0.575 0.860 0.287
0.643 0.357 0.253
0.647 0.363 0.748
0.068 0.929 0.751
0.072 0.504 0.964
0.076 0.933 0.253
0.570 0.433 0.501
0.029 0.651 0.734
0.029 0.889 0.611
0.032 0.655 0.235
0.048 0.900 0.114
0.064 0.216 0.109
0.081 0.214 0.610
0.097 0.207 0.770
0.109 0.953 0.889
0.112 0.211 0.270
0.116 0.977 0.392
0.150 0.525 0.601
0.154 0.526 0.107
0.165 0.511 0.352
0.190 0.509 0.848
0.271 0.022 0.541
0.276 0.042 0.039
0.289 0.733 0.003
0.290 0.713 0.501
0.291 0.389 0.482
0.318 0.394 0.989
0.349 0.977 0.774
0.353 0.655 0.747
0.355 0.972 0.269
0.359 0.649 0.255
0.375 0.339 0.210
0.376 0.341 0.720
0.479 0.853 0.402
0.480 0.863 0.905
0.490 0.846 0.652
0.498 0.832 0.151
0.531 0.154 0.480
0.531 0.398 0.362
0.547 0.169 0.989
0.548 0.394 0.873
0.570 0.154 0.640
0.573 0.143 0.146
0.597 0.689 0.016
0.604 0.478 0.641
0.606 0.457 0.132
0.614 0.713 0.522
0.648 0.133 0.795
0.653 0.132 0.301
0.656 0.630 0.793
0.668 0.626 0.284
0.766 0.994 0.048
0.771 0.015 0.548
0.784 0.938 0.891
0.788 0.886 0.730
0.789 0.925 0.393
0.797 0.897 0.232
0.830 0.454 0.020
0.849 0.475 0.522
0.854 0.432 0.361
0.856 0.433 0.849
0.870 0.352 0.695
0.871 0.356 0.206
0.952 0.735 0.965
0.982 0.734 0.461
0.988 0.233 0.456
0.996 0.221 0.952